No. 1
Computed, not measured: a geometry-optimized TlHg2Te2 structure at the GGA-PBE level of DFT.

a b c (Å): 5.170 9.125 9.296
angles (deg): 111.83 70.94 72.65
Fractional positions:
Tl: 0.000 0.750 0.250
Tl: 0.000 0.250 0.750
Hg: 0.656 0.742 0.910
Hg: 0.656 0.242 0.410
Hg: 0.344 0.258 0.090
Hg: 0.344 0.758 0.590
Te: 0.665 0.457 0.211
Te: 0.665 0.957 0.711
Te: 0.335 0.043 0.289
Te: 0.335 0.543 0.789

Computed properties:
Calculated volume ... 33.79 Å³ per atom
Raw formation energy ... -0.107 eV/atom

---

No. 2
Computed, not measured: a geometry-optimized TlHgTe2 structure at the GGA-PBE level of DFT.

a b c (Å): 7.681 7.681 7.681
angles (deg): 33.65 33.65 33.65
Fractional positions:
Tl: 0.500 0.500 0.500
Te: 0.744 0.744 0.744
Te: 0.256 0.256 0.256
Hg: 0.000 0.000 0.000

Computed properties:
Calculated volume ... 30.99 Å³ per atom
Raw formation energy ... -0.101 eV/atom

---

No. 3
Computed, not measured: a geometry-optimized TlHgTe2 structure at the GGA-PBE level of DFT.

a b c (Å): 3.224 3.224 12.394
angles (deg): 90.00 90.00 94.12
Fractional positions:
Hg: 0.500 0.500 0.735
Te: 0.000 0.000 0.970
Te: 0.500 0.500 0.290
Tl: 0.000 0.000 0.504

Computed properties:
Calculated volume ... 32.12 Å³ per atom
Raw formation energy ... 0.033 eV/atom

---

No. 4
Computed, not measured: a geometry-optimized Tl4HgTe structure at the GGA-PBE level of DFT.

a b c (Å): 4.130 13.866 11.054
angles (deg): 143.59 90.00 90.00
Fractional positions:
Tl: 0.500 0.749 0.592
Tl: 0.500 0.751 0.908
Tl: 0.000 0.003 0.339
Tl: 0.000 0.497 0.161
Tl: 0.000 0.997 0.661
Tl: 0.000 0.503 0.839
Tl: 0.500 0.249 0.092
Tl: 0.500 0.251 0.408
Hg: 0.500 0.250 0.750
Hg: 0.500 0.750 0.250
Te: 0.000 0.500 0.500
Te: 0.000 0.000 0.000

Computed properties:
Calculated volume ... 31.31 Å³ per atom
Raw formation energy ... -0.095 eV/atom